No. 1
Here is a geometry-optimized KAlReRh2 structure from Alexandria. Energies are from PBE.

The structure in extended XYZ format:
```
5
Lattice="-0.1252 3.6004 3.0533 -5.7035 -0.3093 0.1309 0.2478 -3.0452 3.6010" Properties=species:S:1:pos:R:3 pbc="T T T"
Re 0.0000 0.0000 0.0000
K -2.8518 -0.1547 0.0655
Rh 0.1239 -1.5226 1.8005
Rh -0.0626 1.8002 1.5267
Al -2.7904 0.1230 3.3926
```

## Properties
For the total energy, the calculation gives -5.026 eV/atom. The value obtained for the formation energy is 1.372 eV/atom. The value obtained for the total moment is 0.000 μB per formula unit.

No. 2
Here is a geometry-optimized RbSn4Br8 structure from Alexandria. Energies are from PBE.

The structure in extended XYZ format:
```
13
Lattice="-7.4491 2.3001 -5.0612 -8.2938 0.9263 4.0927 -3.8172 8.4257 0.9122" Properties=species:S:1:pos:R:3 pbc="T T T"
Rb -14.6700 8.7391 -0.0422
Sn -11.0946 5.5112 -2.6207
Sn -11.5285 4.8055 2.0814
Sn -9.2289 8.6578 0.4477
Sn -7.2681 4.3297 -0.0209
Br -6.0113 2.6445 -2.2255
Br -6.3814 2.0426 1.7853
Br -4.4200 5.3284 0.3918
Br -2.7475 1.6367 -0.0079
Br -8.6969 6.0855 2.1080
Br -8.3394 6.6669 -1.7663
Br -10.2341 3.4929 -0.4202
Br -11.8497 7.0590 -0.0341
```

## Properties
Its energy above the most stable polymorph in this dataset is 0.016 eV per atom. For the total energy, the calculation gives -3.118 eV/atom. The formation energy without anion corrections is -0.782 eV per atom. The value obtained for the total moment is 0.000 μB per formula unit.

No. 3
Here is a geometry-optimized Dy2Ho2ThMg5 structure from Alexandria. Energies are from PBE.

The structure in extended XYZ format:
```
20
Lattice="-1.5993 3.6602 -3.2788 1.1969 -6.6654 -8.0245 -9.9127 -3.2428 1.2151" Properties=species:S:1:pos:R:3 pbc="T T T"
Dy -0.9464 -5.0889 -5.2192
Dy -7.7694 -4.8194 -1.5902
Dy -2.9872 -2.2281 -1.0301
Dy -5.7286 -7.6802 -5.7793
Ho -5.9996 -2.8074 -0.2075
Ho -2.7163 -7.1009 -6.6019
Ho -7.9845 -6.9852 -3.9031
Ho -0.7313 -2.9231 -2.9063
Th 0.0000 0.0000 0.0000
Th -4.3579 -4.9541 -3.4047
Mg -1.3263 0.2686 -3.1257
Mg -8.9888 -6.5166 -6.9625
Mg -8.6689 -1.2869 -1.2806
Mg -4.1597 -4.1868 -6.7173
Mg -1.6463 -4.9612 -8.8077
Mg -6.1554 -2.0612 -3.3710
Mg -7.0170 -4.2750 -5.4220
Mg -3.2982 -1.9731 -4.6663
Mg -0.2012 -1.5026 -5.6517
Mg -5.7560 0.2087 -1.0318
```

## Properties
For the total energy, the calculation gives -3.253 eV/atom. The value obtained for the formation energy is 0.122 eV/atom. The value obtained for the total moment is 0.000 μB per formula unit.

Number 1 is which compound?
KAlReRh2

Look up the total moment of the first one.
0.000 μB per formula unit

Look up the total moment of the first one.
0.000 μB per formula unit